Compound: CsGeH2Rh
Source: Alexandria via LeMat-Bulk
Functional: PBE-GGA
Structure: relaxed

Relative energy among the computed polymorphs, meV per atom: 133.0
Magnetization, μB per atom: 0.00
V, A^3/atom: 19.08

Cell: 8.5694 3.3949 6.5769 Å, 90.00 94.44 90.00°
Space group Cm (No. 8)
One atom of each set of equivalent atoms:
Cs1 0.0000 0.0000 0.0000 [2 per cell]
Ge1 0.1413 0.5000 0.5253 [2 per cell]
H1 0.3040 0.0000 0.2344 [2 per cell]
H2 0.4155 0.5000 0.4546 [2 per cell]
Rh1 0.3509 0.0000 0.4774 [2 per cell]

***

Compound: CsGeH2Rh
Source: Alexandria via LeMat-Bulk
Functional: PBE-GGA
Structure: relaxed

Relative energy among the computed polymorphs, meV per atom: 0.0
Magnetization, μB per atom: 0.00
V, A^3/atom: 19.94

Cell: 6.5981 4.0220 7.5135 Å, 90.00 90.00 90.00°
Space group Amm2 (No. 38)
One atom of each set of equivalent atoms:
Cs1 0.0000 0.0000 0.0000 [2 per cell]
Ge1 0.5000 0.0000 0.6492 [2 per cell]
H1 0.2460 0.0000 0.3248 [4 per cell]
Rh1 0.5000 0.0000 0.3249 [2 per cell]

***

Compound: CsGeH2Rh
Source: Alexandria via LeMat-Bulk
Functional: PBE-GGA
Structure: relaxed

Relative energy among the computed polymorphs, meV per atom: 234.4
Magnetization, μB per atom: 0.00
V, A^3/atom: 18.67

Cell: 3.4411 4.2978 12.6274 Å, 90.00 90.00 90.00°
Space group Amm2 (No. 38)
One atom of each set of equivalent atoms:
Cs1 0.0000 0.0000 0.0000 [2 per cell]
Ge1 0.5000 0.0000 0.7130 [2 per cell]
H1 0.0000 0.0000 0.3168 [2 per cell]
H2 0.0000 0.0000 0.6475 [2 per cell]
Rh1 0.5000 0.0000 0.2973 [2 per cell]

***

Compound: CsGeH2Rh
Source: Alexandria via LeMat-Bulk
Functional: PBE-GGA
Structure: relaxed

Relative energy among the computed polymorphs, meV per atom: 155.1
Magnetization, μB per atom: 0.00
V, A^3/atom: 18.04

Cell: 8.8777 3.2678 6.3178 Å, 90.00 100.11 90.00°
Space group Cm (No. 8)
One atom of each set of equivalent atoms:
Cs1 0.0000 0.0000 0.0000 [2 per cell]
Ge1 0.1661 0.5000 0.5114 [2 per cell]
H1 0.1906 0.5000 0.7737 [2 per cell]
H2 0.4530 0.5000 0.4874 [2 per cell]
Rh1 0.3748 0.0000 0.4536 [2 per cell]

***

Compound: CsGeH2Rh
Source: Alexandria via LeMat-Bulk
Functional: PBE-GGA
Structure: relaxed

Relative energy among the computed polymorphs, meV per atom: 29.5
Magnetization, μB per atom: 0.00
V, A^3/atom: 20.16

Cell: 3.9220 4.0590 7.0184 Å, 78.20 78.13 68.61°
Space group P1 (No. 1)
One atom of each set of equivalent atoms:
Cs1 0.0000 0.0000 0.0000 [1 per cell]
Ge1 0.1695 0.1490 0.4792 [1 per cell]
H1 0.4535 0.4612 0.7303 [1 per cell]
H2 0.5860 0.5757 0.2361 [1 per cell]
Rh1 0.5210 0.5142 0.4827 [1 per cell]

***

Compound: CsGe2HRu
Source: Alexandria via LeMat-Bulk
Functional: PBE-GGA
Structure: relaxed

Magnetization, μB per atom: 0.37
V, A^3/atom: 23.61
Calculated total energy, eV/atom: -2.56

Cell: 5.6393 5.6393 3.7127 Å, 90.00 90.00 90.00°
Space group P4/mmm (No. 123)
One atom of each set of equivalent atoms:
Cs1 0.0000 0.0000 0.0000 [1 per cell]
Ge1 0.0000 0.5000 0.0000 [2 per cell]
H1 0.0000 0.0000 0.5000 [1 per cell]
Ru1 0.5000 0.5000 0.5000 [1 per cell]

***

Compound: CsZnGeH2
Source: Alexandria via LeMat-Bulk
Functional: PBE-GGA
Structure: relaxed

Relative energy among the computed polymorphs, meV per atom: 88.3
Magnetization, μB per atom: 0.00
V, A^3/atom: 21.38

Cell: 3.6110 4.6747 6.9445 Å, 81.99 89.99 67.31°
Space group P1 (No. 1)
One atom of each set of equivalent atoms:
Cs1 0.0000 0.0000 0.0000 [1 per cell]
Zn1 0.3373 0.3320 0.4287 [1 per cell]
Ge1 0.6814 0.6386 0.6031 [1 per cell]
H1 0.3102 0.3775 0.1878 [1 per cell]
H2 0.5513 0.8972 0.3994 [1 per cell]

***

Compound: CsZnGeH2
Source: Alexandria via LeMat-Bulk
Functional: PBE-GGA
Structure: relaxed

Relative energy among the computed polymorphs, meV per atom: 86.5
Magnetization, μB per atom: 0.00
V, A^3/atom: 28.34

Cell: 5.5038 5.5305 5.8489 Å, 78.92 64.28 62.09°
Space group P1 (No. 1)
One atom of each set of equivalent atoms:
Cs1 0.0000 0.0000 0.0000 [1 per cell]
Zn1 0.7300 0.5179 0.4960 [1 per cell]
Ge1 0.2313 0.4947 0.5172 [1 per cell]
H1 0.0870 0.8247 0.5002 [1 per cell]
H2 0.3797 0.4604 0.2125 [1 per cell]